Ca3YAl: optimized geometry, PBE.

Structure (extended XYZ):
```
5
Lattice="-0.0756 -5.1492 2.7215 -0.2256 -2.7171 -5.1471 5.8198 -0.1722 -0.1641" Properties=species:S:1:pos:R:3 pbc="T T T"
Al 0.0000 0.0000 0.0000
Ca 2.9099 -0.0861 -0.0821
Y 2.7593 -4.0193 -1.2949
Ca -0.1128 -1.3586 -2.5736
Ca -0.0378 -2.5746 1.3608
```

Calculated values
- crystal system = cubic
- calculated formation energy (eV/atom) = 0.31
- energy above the most stable polymorph in this dataset (meV per atom) = 0.0
- volume (Å³/cell) = 197.6